Entry 1:
Compound: Th6CCl15
Source: Alexandria
Functional: PBE
Structure: relaxed Values from VASP.

Cell and atoms, written as Quantum ESPRESSO input:
```
&SYSTEM
  ibrav = 0, nat = 22, ntyp = 3
/
ATOMIC_SPECIES
Cl 35.45 Cl.upf
C 12.01 C.upf
Th 232.04 Th.upf
CELL_PARAMETERS angstrom
-7.609 -5.760 0.418
7.446 -4.814 -3.553
2.119 3.118 8.777
ATOMIC_POSITIONS crystal
Cl 0.750 0.250 0.000
Cl 0.250 0.750 0.000
Cl 0.750 0.750 0.499
Cl 0.500 0.000 0.500
Cl 0.501 0.250 0.250
Cl 0.750 0.000 0.250
Cl 0.000 0.750 0.250
Cl 0.000 0.250 0.750
Cl 0.750 0.499 0.750
Cl 0.500 0.500 0.000
Cl 0.250 0.250 0.501
Cl 0.000 0.500 0.500
Cl 0.250 0.000 0.750
Cl 0.250 0.501 0.250
Cl 0.499 0.750 0.750
C 0.000 0.000 0.000
Th 0.239 0.239 0.000
Th 0.000 0.761 0.761
Th 0.239 0.000 0.239
Th 0.000 0.239 0.239
Th 0.761 0.761 0.000
Th 0.761 0.000 0.761
```

The total energy comes out at -5.609 eV/atom. Its space group is Im-3m, No. 229. The energy relative to the elements, uncorrected comes out at -1907 meV/atom. The calculation puts the theoretical density at 4.79 g cm⁻³.


Entry 2:
Compound: Pr2Y6Ho3
Source: Alexandria
Functional: PBE
Structure: relaxed Values from VASP.

Cell and atoms, written as Quantum ESPRESSO input:
```
&SYSTEM
  ibrav = 0, nat = 11, ntyp = 3
/
ATOMIC_SPECIES
Y 88.91 Y.upf
Pr 140.91 Pr.upf
Ho 164.93 Ho.upf
CELL_PARAMETERS angstrom
-1.805 -3.710 4.556
2.022 -5.807 0.219
8.459 2.150 7.888
ATOMIC_POSITIONS crystal
Y 0.416 0.667 0.754
Y 0.251 0.000 0.246
Y 0.918 0.667 0.246
Y 0.749 0.000 0.754
Y 0.584 0.333 0.246
Y 0.082 0.333 0.754
Pr 0.167 0.667 0.500
Pr 0.833 0.333 0.500
Ho 0.000 0.000 0.000
Ho 0.335 0.330 0.000
Ho 0.665 0.670 0.000
```

The total energy comes out at -5.459 eV/atom. As for the formation energy: 0.18 eV per atom. For the energy above the most stable polymorph in this dataset, the calculation gives 0.0 meV/atom. Its space group is C2/m, No. 12. The calculation puts the theoretical density at 5.73 g cm⁻³.


Entry 3:
Compound: KTaHg2
Source: Alexandria
Functional: PBE
Structure: relaxed Values from VASP.

Cell and atoms, written as Quantum ESPRESSO input:
```
&SYSTEM
  ibrav = 0, nat = 4, ntyp = 3
/
ATOMIC_SPECIES
Hg 200.59 Hg.upf
Ta 180.95 Ta.upf
K 39.10 K.upf
CELL_PARAMETERS angstrom
-1.962 -1.683 -1.612
2.334 -1.302 -1.462
0.418 -7.645 7.473
ATOMIC_POSITIONS crystal
Hg 0.500 0.500 0.234
Hg 0.000 0.000 0.983
Ta 0.500 0.500 0.790
K 0.000 0.000 0.493
```

The total energy comes out at -2.813 eV/atom. As for the formation energy: 0.58 eV per atom. For the energy above the most stable polymorph in this dataset, the calculation gives 195.8 meV/atom. Its space group is Cmm2, No. 35. The calculation puts the theoretical density at 10.39 g cm⁻³.


Entry 4:
Compound: Sr2NiCCl
Source: Alexandria
Functional: PBE
Structure: relaxed Values from VASP.

Cell and atoms, written as Quantum ESPRESSO input:
```
&SYSTEM
  ibrav = 0, nat = 5, ntyp = 4
/
ATOMIC_SPECIES
Sr 87.62 Sr.upf
Cl 35.45 Cl.upf
Ni 58.69 Ni.upf
C 12.01 C.upf
CELL_PARAMETERS angstrom
5.473 0.000 0.000
0.000 5.473 0.000
0.000 0.000 3.662
ATOMIC_POSITIONS crystal
Sr 0.500 0.000 0.000
Sr 0.000 0.500 0.000
Cl 0.500 0.500 0.500
Ni 0.000 0.000 0.500
C 0.000 0.000 0.000
```

The total energy comes out at -4.714 eV/atom. Its space group is P4/mmm, No. 123. The energy relative to the elements, uncorrected comes out at -671 meV/atom. The calculation puts the theoretical density at 4.26 g cm⁻³.


Entry 5:
Compound: TlSbBr2
Source: Alexandria
Functional: PBE
Structure: relaxed Values from VASP.

Cell and atoms, written as Quantum ESPRESSO input:
```
&SYSTEM
  ibrav = 0, nat = 8, ntyp = 3
/
ATOMIC_SPECIES
Sb 121.76 Sb.upf
Tl 204.38 Tl.upf
Br 79.90 Br.upf
CELL_PARAMETERS angstrom
-2.415 3.254 -4.067
-4.398 -3.676 -0.330
-7.992 4.678 4.437
ATOMIC_POSITIONS crystal
Sb 0.250 0.750 0.500
Sb 0.500 0.500 0.000
Tl 0.000 0.000 0.000
Tl 0.750 0.250 0.500
Br 0.567 0.125 0.250
Br 0.183 0.625 0.250
Br 0.875 0.817 0.750
Br 0.375 0.433 0.750
```

The total energy comes out at -2.644 eV/atom. Its space group is I-42d, No. 122. The energy relative to the elements, uncorrected comes out at -186 meV/atom. The calculation puts the theoretical density at 5.19 g cm⁻³.


Entry 6:
Compound: BiB3Pt
Source: Alexandria
Functional: PBE
Structure: relaxed Values from VASP.

Cell and atoms, written as Quantum ESPRESSO input:
```
&SYSTEM
  ibrav = 0, nat = 5, ntyp = 3
/
ATOMIC_SPECIES
B 10.81 B.upf
Bi 208.98 Bi.upf
Pt 195.08 Pt.upf
CELL_PARAMETERS angstrom
-2.224 -2.902 -2.806
-1.798 -2.157 3.655
-3.615 2.858 -0.092
ATOMIC_POSITIONS crystal
B 0.500 0.000 0.000
B 0.000 0.000 0.500
B 0.000 0.500 0.000
Bi 0.000 0.000 0.000
Pt 0.500 0.500 0.500
```

The total energy comes out at -3.284 eV/atom. As for the formation energy: 2.71 eV per atom. For the energy above the most stable polymorph in this dataset, the calculation gives 1527.5 meV/atom. Its space group is Pm-3m, No. 221. The calculation puts the theoretical density at 7.40 g cm⁻³.


Entry 7:
Compound: CaIr3Os
Source: Alexandria
Functional: PBE
Structure: relaxed Values from VASP.

Cell and atoms, written as Quantum ESPRESSO input:
```
&SYSTEM
  ibrav = 0, nat = 5, ntyp = 3
/
ATOMIC_SPECIES
Os 190.23 Os.upf
Ir 192.22 Ir.upf
Ca 40.08 Ca.upf
CELL_PARAMETERS angstrom
-4.005 2.235 -0.354
-1.618 -3.331 -2.729
-1.583 -2.252 3.686
ATOMIC_POSITIONS crystal
Os 0.500 0.500 0.500
Ir 0.000 0.500 0.000
Ir 0.500 0.000 0.000
Ir 0.000 0.000 0.500
Ca 0.000 0.000 0.000
```

The total energy comes out at -5.067 eV/atom. As for the formation energy: 2.90 eV per atom. For the energy above the most stable polymorph in this dataset, the calculation gives 1964.2 meV/atom. Its space group is Pm-3m, No. 221. The calculation puts the theoretical density at 13.76 g cm⁻³.


Repeat the third record exactly.
Compound: KTaHg2
Source: Alexandria
Functional: PBE
Structure: relaxed Values from VASP.

Cell and atoms, written as Quantum ESPRESSO input:
```
&SYSTEM
  ibrav = 0, nat = 4, ntyp = 3
/
ATOMIC_SPECIES
Hg 200.59 Hg.upf
Ta 180.95 Ta.upf
K 39.10 K.upf
CELL_PARAMETERS angstrom
-1.962 -1.683 -1.612
2.334 -1.302 -1.462
0.418 -7.645 7.473
ATOMIC_POSITIONS crystal
Hg 0.500 0.500 0.234
Hg 0.000 0.000 0.983
Ta 0.500 0.500 0.790
K 0.000 0.000 0.493
```

The total energy comes out at -2.813 eV/atom. As for the formation energy: 0.58 eV per atom. For the energy above the most stable polymorph in this dataset, the calculation gives 195.8 meV/atom. Its space group is Cmm2, No. 35. The calculation puts the theoretical density at 10.39 g cm⁻³.